Material: BRhNO2
Method: DFT, PBEsol
State: relaxed

* raw formation energy: 0.2231 eV/atom
* D(E_F): 2.18 states/eV/cell
* volume: 7.53 A^3/atom
* M_tot: 0.0000 μB per atom
* uncorrected energy: -6.61 eV per atom

Cell and atoms, written as POSCAR:
```
BRhNO2
1.0
3.3542 0.0000 0.0000
0.0000 3.3498 0.0000
0.0000 0.0000 3.3498
O N B Rh
2 1 1 1
Cartesian
0.0000 0.0000 1.6749 O
0.0000 1.6749 0.0000 O
1.6771 0.0000 0.0000 N
0.0000 0.0000 0.0000 B
1.6771 1.6749 1.6749 Rh
```

Material: SbTe3O8
Method: DFT, PBEsol
State: relaxed

* raw formation energy: -1.0784 eV/atom
* D(E_F): 18.11 states/eV/cell
* volume: 14.86 A^3/atom
* M_tot: 0.0001 μB per atom
* uncorrected energy: -5.84 eV per atom

Cell and atoms, written as POSCAR:
```
SbTe3O8
1.0
-6.1113 7.4551 1.4612
-2.5212 -7.4473 5.7658
9.1009 2.7987 2.0986
O Te Sb
32 12 4
Cartesian
-5.7935 2.3476 4.4277 O
6.2619 0.4589 4.8979 O
4.3537 0.0170 2.6190 O
0.4701 1.5053 6.7478 O
-1.0445 3.8280 1.3295 O
-3.8853 2.7895 6.7065 O
-1.7397 0.6865 4.7240 O
5.6847 4.6351 3.6701 O
1.5129 -1.0215 7.9961 O
-5.7956 0.4720 7.4999 O
3.9306 -1.6400 6.6633 O
1.7354 -2.8023 3.5737 O
-2.7230 0.0154 7.4830 O
2.2080 2.1200 4.6016 O
1.2650 5.5938 4.6202 O
6.8189 -2.3146 6.1811 O
-4.2363 0.4833 5.2063 O
4.7046 2.3232 4.1193 O
-5.0675 6.1818 1.2116 O
1.1233 -0.4890 4.4575 O
1.0642 3.8549 2.7647 O
-0.0018 1.3012 2.5778 O
-0.5958 -1.0484 6.5609 O
-6.3505 5.1211 3.1445 O
-5.2164 -1.8285 5.6555 O
-3.4623 4.4465 2.6623 O
3.1914 2.7911 1.8425 O
4.8442 -1.8463 4.2906 O
-0.7967 -2.7873 4.7054 O
6.2639 2.3346 1.8256 O
-1.0438 1.2733 0.2496 O
-0.6549 3.2955 4.8681 O
0.3921 2.5638 1.1874 Te
-3.9241 2.5677 4.8008 Te
3.0167 3.5428 3.5995 Te
-6.2036 -0.1854 5.7439 Te
0.8609 -2.1310 5.4153 Te
4.3925 0.2388 4.5247 Te
5.0578 -3.0645 6.0448 Te
6.6720 2.9919 3.5817 Te
-4.5894 5.8710 3.2808 Te
-2.5483 -0.7363 5.7261 Te
0.0762 0.2427 8.1382 Te
-0.3926 4.9376 3.9103 Te
-3.0557 3.7276 0.7306 Sb
4.5504 1.3993 1.0493 Sb
0.2342 1.4033 4.6628 Sb
-1.2606 -3.7236 2.8829 Sb
```

Material: Cs2Hg3Se4
Method: DFT, PBEsol
State: relaxed

* raw formation energy: -0.6093 eV/atom
* volume: 31.68 A^3/atom
* M_tot: 0.0000 μB per atom
* uncorrected energy: -2.72 eV per atom

Cell and atoms, written as POSCAR:
```
Cs2Hg3Se4
1.0
6.5208 0.0000 0.0000
3.2604 9.4195 -0.1191
3.2604 1.7112 9.2635
Hg Cs Se
6 4 8
Cartesian
6.5208 8.3480 6.8583 Hg
3.2604 4.2127 0.5455 Hg
6.5208 2.7827 2.2861 Hg
9.7813 9.7780 5.1177 Hg
9.7813 6.9180 8.5989 Hg
3.2604 1.3527 4.0267 Hg
5.0198 2.6137 8.1649 Cs
8.2802 4.6628 5.6708 Cs
4.7615 6.4679 3.4736 Cs
8.0219 8.5169 0.9795 Cs
7.9171 8.5370 9.1474 Se
11.6454 10.6302 6.5995 Se
1.3963 0.5004 2.5449 Se
5.1246 2.9717 4.5752 Se
5.1246 6.0657 7.1171 Se
5.1246 2.5936 -0.0030 Se
7.9171 5.0649 2.0273 Se
7.9171 8.1589 4.5692 Se
```

Material: BeAlFe2
Method: DFT, PBEsol
State: relaxed

* energy of formation from the pure elements: -0.1656 eV per atom
* D(E_F): 2.51 states/eV/cell
* volume: 10.78 A^3/atom
* M_tot: 0.9300 μB per atom
* uncorrected energy: -6.67 eV per atom

Cell and atoms, written as POSCAR:
```
BeAlFe2
1.0
3.5137 0.0000 0.0000
0.0000 3.5137 0.0000
-1.7568 -1.7568 3.4915
Fe Be Al
2 1 1
Cartesian
1.7568 0.0000 1.7458 Fe
0.0000 1.7568 1.7458 Fe
0.0000 0.0000 0.0000 Be
1.7568 1.7568 0.0000 Al
```

Material: RuRh2Cl
Method: DFT, PBEsol
State: relaxed

* raw formation energy: 0.5252 eV/atom
* D(E_F): 6.07 states/eV/cell
* volume: 14.11 A^3/atom
* M_tot: 0.0001 μB per atom
* uncorrected energy: -6.59 eV per atom

Cell and atoms, written as POSCAR:
```
RuRh2Cl
1.0
2.7031 0.0000 0.0000
-1.3515 2.4132 0.0000
0.0000 0.0000 8.6521
Rh Ru Cl
2 1 1
Cartesian
1.3515 0.0000 2.1954 Rh
0.0000 0.0000 8.6003 Rh
0.0000 0.0000 4.4093 Ru
1.3515 0.0000 6.4253 Cl
```

Material: MoI2O2
Method: DFT, PBEsol
State: relaxed

* raw formation energy: 0.6930 eV/atom
* D(E_F): 2.08 states/eV/cell
* volume: 24.12 A^3/atom
* M_tot: 0.8433 μB per atom
* uncorrected energy: -4.47 eV per atom

Cell and atoms, written as POSCAR:
```
MoI2O2
1.0
4.0536 0.0000 0.0000
0.0000 4.0536 0.0000
0.0000 0.0000 7.3401
Mo I O
1 2 2
Cartesian
2.0268 2.0268 3.6701 Mo
0.0000 0.0000 0.0000 I
0.0000 0.0000 3.6701 I
2.0268 0.0000 0.0000 O
0.0000 2.0268 0.0000 O
```

Material: LuRu3C
Method: DFT, PBEsol
State: relaxed

* energy of formation from the pure elements: -0.2905 eV per atom
* D(E_F): 3.86 states/eV/cell
* volume: 13.53 A^3/atom
* M_tot: 0.0000 μB per atom
* uncorrected energy: -9.30 eV per atom

Cell and atoms, written as POSCAR:
```
LuRu3C
1.0
-3.9134 -1.0397 0.4560
0.9231 -3.8668 -0.8939
0.6608 -0.7552 3.9492
Ru Lu C
3 1 1
Cartesian
0.3304 -0.3776 1.9746 Ru
-1.9567 -0.5198 0.2280 Ru
0.4616 -1.9334 -0.4470 Ru
-1.1647 -2.8308 1.7556 Lu
0.0000 0.0000 0.0000 C
```

Material: Cs2NbPd
Method: DFT, PBEsol
State: relaxed

* energy of formation from the pure elements: 1.4988 eV per atom
* D(E_F): 3.76 states/eV/cell
* volume: 33.27 A^3/atom
* M_tot: 1.2385 μB per atom
* uncorrected energy: -3.17 eV per atom

Cell and atoms, written as POSCAR:
```
Cs2NbPd
1.0
5.7306 0.0000 0.0000
2.8653 4.9628 0.0000
2.8653 1.6543 4.6790
Cs Nb Pd
2 1 1
Cartesian
8.5959 4.9628 3.5092 Cs
2.8653 1.6543 1.1697 Cs
0.0000 0.0000 0.0000 Nb
5.7306 3.3085 2.3395 Pd
```

Material: CaIn4Pb
Method: DFT, PBEsol
State: relaxed

* energy of formation from the pure elements: -0.1683 eV per atom
* D(E_F): 3.45 states/eV/cell
* volume: 26.65 A^3/atom
* M_tot: 0.0001 μB per atom
* uncorrected energy: -3.18 eV per atom

Cell and atoms, written as POSCAR:
```
CaIn4Pb
1.0
6.0926 0.0000 0.0000
3.0463 5.2763 0.0000
3.0463 1.7588 4.9746
In Ca Pb
4 1 1
Cartesian
6.0926 5.2733 1.8665 In
4.5721 2.6397 1.8665 In
6.0926 3.5176 4.3495 In
7.6131 2.6397 1.8665 In
0.0000 0.0000 0.0000 Ca
9.1389 5.2763 3.7309 Pb
```

Material: CrOs2Au
Method: DFT, PBEsol
State: relaxed

* energy of formation from the pure elements: 0.7450 eV per atom
* D(E_F): 7.10 states/eV/cell
* volume: 14.53 A^3/atom
* M_tot: 0.5686 μB per atom
* uncorrected energy: -8.90 eV per atom

Cell and atoms, written as POSCAR:
```
CrOs2Au
1.0
-1.0586 -4.0872 1.0382
1.3318 -1.6988 3.7742
-2.8715 -0.7625 3.1744
Os Cr Au
2 1 1
Cartesian
0.0000 0.0000 0.0000 Os
-1.9487 -4.9114 5.9901 Os
-0.6496 -1.6371 1.9967 Cr
-1.2991 -3.2742 3.9934 Au
```

Material: Sr4TiP4
Method: DFT, PBEsol
State: relaxed

* energy of formation from the pure elements: -1.1068 eV per atom
* volume: 27.03 A^3/atom
* M_tot: 0.0000 μB per atom
* uncorrected energy: -5.42 eV per atom

Cell and atoms, written as POSCAR:
```
Sr4TiP4
1.0
12.4856 0.0000 0.0000
0.0000 12.4856 0.0000
0.0000 0.0000 12.4856
P Sr Ti
32 32 8
Cartesian
4.8799 7.6057 7.6057 P
7.6801 8.0590 11.1386 P
11.1227 1.3629 1.3629 P
7.5898 10.6694 1.4373 P
4.8958 10.6694 11.0483 P
4.8799 4.8799 4.8799 P
4.4266 11.1386 4.8055 P
8.0590 1.3470 4.8055 P
11.1386 4.8055 4.4266 P
4.8958 1.8162 1.4373 P
1.8162 11.0483 7.5898 P
1.4373 4.8958 1.8162 P
11.0483 7.5898 1.8162 P
7.5898 1.8162 11.0483 P
11.1386 7.6801 8.0590 P
1.4373 7.5898 10.6694 P
1.3470 7.6801 4.4266 P
7.6057 7.6057 4.8799 P
4.8055 4.4266 11.1386 P
1.3629 11.1227 1.3629 P
4.8055 8.0590 1.3470 P
1.8162 1.4373 4.8958 P
7.6057 4.8799 7.6057 P
4.4266 1.3470 7.6801 P
8.0590 11.1386 7.6801 P
10.6694 1.4373 7.5898 P
7.6801 4.4266 1.3470 P
11.1227 11.1227 11.1227 P
1.3629 1.3629 11.1227 P
11.0483 4.8958 10.6694 P
10.6694 11.0483 4.8958 P
1.3470 4.8055 8.0590 P
10.6384 1.8472 10.6384 Sr
7.4189 10.6375 4.5278 Sr
4.3956 8.0900 4.3956 Sr
11.3095 1.7150 4.3947 Sr
4.5278 7.4189 10.6375 Sr
1.1761 1.7150 8.0909 Sr
8.0909 1.1761 1.7150 Sr
8.0909 11.3095 10.7706 Sr
8.0900 4.3956 4.3956 Sr
4.3947 11.3095 1.7150 Sr
11.3095 10.7706 8.0909 Sr
10.6384 10.6384 1.8472 Sr
8.0900 8.0900 8.0900 Sr
5.0667 1.8481 4.5278 Sr
10.6375 4.5278 7.4189 Sr
4.3956 4.3956 8.0900 Sr
5.0667 10.6375 7.9578 Sr
1.8472 10.6384 10.6384 Sr
1.8481 4.5278 5.0667 Sr
1.8481 7.9578 7.4189 Sr
10.7706 4.3947 1.1761 Sr
1.7150 8.0909 1.1761 Sr
4.5278 5.0667 1.8481 Sr
10.7706 8.0909 11.3095 Sr
7.9578 7.4189 1.8481 Sr
1.7150 4.3947 11.3095 Sr
10.6375 7.9578 5.0667 Sr
1.8472 1.8472 1.8472 Sr
7.4189 1.8481 7.9578 Sr
1.1761 10.7706 4.3947 Sr
4.3947 1.1761 10.7706 Sr
7.9578 5.0667 10.6375 Sr
9.3642 0.0000 6.2428 Ti
6.2428 3.1214 0.0000 Ti
0.0000 6.2428 3.1214 Ti
6.2428 6.2428 6.2428 Ti
6.2428 9.3642 0.0000 Ti
3.1214 0.0000 6.2428 Ti
0.0000 6.2428 9.3642 Ti
0.0000 0.0000 0.0000 Ti
```

Material: MgNbSN2
Method: DFT, PBEsol
State: relaxed

* raw formation energy: 0.9698 eV/atom
* D(E_F): 4.03 states/eV/cell
* volume: 13.21 A^3/atom
* M_tot: 0.0353 μB per atom
* uncorrected energy: -5.83 eV per atom

Cell and atoms, written as POSCAR:
```
MgNbSN2
1.0
3.7788 0.0000 0.0000
0.0000 3.7788 0.0000
0.0000 0.0000 4.6258
N Mg Nb S
2 1 1 1
Cartesian
1.8894 0.0000 0.0000 N
0.0000 1.8894 0.0000 N
0.0000 0.0000 0.0000 Mg
1.8894 1.8894 2.3129 Nb
0.0000 0.0000 2.3129 S
```